Crystalline PmBeC2O8 at its relaxed geometry, computed with PBE.

The value obtained for the volume is 114.0 Å³/cell. The value obtained for the energy is -0.255 hartree per atom. As for the mass density: 4.5 Mg/m³. For the raw formation energy, the calculation gives -1611.3 kJ/mol of formula units. As for the total magnetic moment: 3.022 μB/f.u.

Cell lengths 5.172, 5.172, 6.070 Å; angles 114.11, 114.11, 52.03 degrees
Sites, in units of the cell vectors:
Pm  0.000  0.000  0.000
Be  0.500  0.500  0.500
C  0.190  0.190  0.681
C  0.810  0.810  0.319
O  0.131  0.646  0.278
O  0.183  0.183  0.452
O  0.353  0.353  0.842
O  0.354  0.869  0.722
O  0.646  0.131  0.278
O  0.647  0.647  0.158
O  0.817  0.817  0.548
O  0.869  0.354  0.722

---

Crystalline Rb2BeC2O6 at its relaxed geometry, computed with PBE.

The value obtained for the volume is 169.3 Å³/cell. The value obtained for the energy is -0.243 hartree per atom. As for the mass density: 2.9 Mg/m³. For the raw formation energy, the calculation gives -1808.5 kJ/mol of formula units. As for the total magnetic moment: 0.000 μB/f.u.

Cell lengths 6.679, 6.679, 6.797 Å; angles 119.46, 119.46, 41.00 degrees
Sites, in units of the cell vectors:
Rb  0.191  0.191  0.187
Rb  0.809  0.809  0.813
Be  0.000  0.000  0.500
C  0.499  0.499  0.699
C  0.501  0.501  0.301
O  0.201  0.683  0.285
O  0.317  0.799  0.715
O  0.391  0.391  0.675
O  0.609  0.609  0.325
O  0.683  0.201  0.285
O  0.799  0.317  0.715

---

Crystalline Sc2BeCO at its relaxed geometry, computed with PBE.

The value obtained for the volume is 63.6 Å³/cell. The value obtained for the energy is -0.254 hartree per atom. As for the mass density: 3.3 Mg/m³. For the raw formation energy, the calculation gives -379.9 kJ/mol of formula units. As for the total magnetic moment: 0.089 μB/f.u.

Cell lengths 4.459, 4.459, 3.198 Å; angles 90.00, 90.00, 90.00 degrees
Sites, in units of the cell vectors:
Sc  0.000  0.500  0.000
Sc  0.500  0.000  0.000
Be  0.000  0.000  0.500
C  0.000  0.000  0.000
O  0.500  0.500  0.500

---

Crystalline Be2CSeO at its relaxed geometry, computed with PBE.

The value obtained for the volume is 56.4 Å³/cell. The value obtained for the energy is -0.171 hartree per atom. As for the mass density: 3.7 Mg/m³. For the raw formation energy, the calculation gives 172.7 kJ/mol of formula units. As for the total magnetic moment: 0.000 μB/f.u.

Cell lengths 3.347, 3.347, 5.030 Å; angles 90.00, 90.00, 90.00 degrees
Sites, in units of the cell vectors:
Be  0.000  0.500  0.000
Be  0.500  0.000  0.000
C  0.000  0.000  0.000
Se  0.000  0.000  0.500
O  0.500  0.500  0.500

---

Crystalline BeTcCO2 at its relaxed geometry, computed with PBE.

The value obtained for the volume is 49.7 Å³/cell. The value obtained for the energy is -0.198 hartree per atom. As for the mass density: 5.1 Mg/m³. For the raw formation energy, the calculation gives 603.3 kJ/mol of formula units. As for the total magnetic moment: 0.000 μB/f.u.

Cell lengths 3.473, 3.473, 4.118 Å; angles 90.00, 90.00, 90.00 degrees
Sites, in units of the cell vectors:
Be  0.000  0.000  0.000
Tc  0.500  0.500  0.000
C  0.500  0.500  0.500
O  0.000  0.500  0.500
O  0.500  0.000  0.500

---

Crystalline Be2OsC at its relaxed geometry, computed with PBE.

The value obtained for the volume is 76.8 Å³/cell. The value obtained for the energy is -0.240 hartree per atom. As for the mass density: 9.5 Mg/m³. As for the total magnetic moment: 0.000 μB/f.u.

Cell lengths 4.799, 4.799, 4.799 Å; angles 100.30, 100.30, 129.97 degrees
Sites, in units of the cell vectors:
Be  0.026  0.625  0.901
Be  0.375  0.276  0.401
Be  0.724  0.125  0.099
Be  0.875  0.974  0.599
Os  0.250  0.750  0.500
Os  0.500  0.500  0.000
C  0.000  0.000  0.000
C  0.750  0.250  0.500

---

Q: Number 4 is which compound?
A: Be2CSeO